Sm4Mg3Co | Alexandria | PBE | optimized geometry; crystal system = tetragonal; calculated formation energy = -6.44 kJ/mol of atoms; SG = P4/mmm; uncorrected energy = -3.912 eV per atom
1.0
3.6142 0.0000 0.0000
0.0000 3.6142 0.0000
0.0000 0.0000 16.1927
Sm Mg Co
4 3 1
direct
0.0000 0.0000 0.1001 Sm
0.0000 0.0000 0.3704 Sm
0.0000 0.0000 0.6296 Sm
0.0000 0.0000 0.8999 Sm
0.5000 0.5000 0.2388 Mg
0.5000 0.5000 0.5000 Mg
0.5000 0.5000 0.7612 Mg
0.5000 0.5000 0.0000 Co

LiTlTc2 | Alexandria | PBE | optimized geometry; crystal system = orthorhombic; calculated formation energy = 31.33 kJ/mol of atoms; SG = Imm2; uncorrected energy = -5.928 eV per atom
1.0
4.3413 0.0000 0.0000
0.0000 4.6263 0.0000
0.0000 0.0000 6.3321
Li Tl Tc
2 2 4
direct
0.0000 0.0000 0.0000 Li
0.5000 0.5000 0.5000 Li
0.0000 0.5000 0.2483 Tl
0.5000 0.0000 0.7483 Tl
0.0000 0.0000 0.4795 Tc
0.0000 0.5000 0.7566 Tc
0.5000 0.0000 0.2566 Tc
0.5000 0.5000 0.9795 Tc

Ca2AlIn | Alexandria | PBE | optimized geometry; crystal system = monoclinic; calculated formation energy = -11.38 kJ/mol of atoms; SG = C2/m; uncorrected energy = -2.739 eV per atom
1.0
10.2963 0.0000 0.0000
0.0000 3.4870 0.0000
-1.0407 0.0000 6.5056
Ca Al In
4 2 2
direct
0.2476 0.0000 0.2440 Ca
0.2524 0.5000 0.7560 Ca
0.7476 0.5000 0.2440 Ca
0.7524 0.0000 0.7560 Ca
0.0000 0.5000 0.0000 Al
0.5000 0.0000 0.0000 Al
0.0000 0.0000 0.5000 In
0.5000 0.5000 0.5000 In

Pm3Ho6Er2Th | Alexandria | PBE | optimized geometry; crystal system = monoclinic; calculated formation energy = 1.93 kJ/mol of atoms; SG = C2/m; uncorrected energy = -4.835 eV per atom
1.0
3.0838 -5.3398 0.0000
3.0838 5.3398 0.0000
-2.0600 0.0000 11.5937
Pm Ho Er Th
3 6 2 1
direct
0.0000 0.0000 0.0000 Pm
0.3329 0.6671 0.0000 Pm
0.6671 0.3329 0.0000 Pm
0.0871 0.4173 0.2535 Ho
0.2525 0.2525 0.7465 Ho
0.4173 0.0871 0.2535 Ho
0.5827 0.9129 0.7465 Ho
0.7475 0.7475 0.2535 Ho
0.9129 0.5827 0.7465 Ho
0.1668 0.8332 0.5000 Er
0.8332 0.1668 0.5000 Er
0.5000 0.5000 0.5000 Th

TlFe2Tc | Alexandria | PBE | optimized geometry; crystal system = tetragonal; calculated formation energy = 50.47 kJ/mol of atoms; SG = P4/mmm; uncorrected energy = -6.891 eV per atom
1.0
4.0235 0.0000 0.0000
0.0000 4.0235 0.0000
0.0000 0.0000 3.7639
Tl Fe Tc
1 2 1
direct
0.0000 0.0000 0.0000 Tl
0.0000 0.5000 0.5000 Fe
0.5000 0.0000 0.5000 Fe
0.5000 0.5000 0.0000 Tc

Nd2TcGe6 | Alexandria | PBE | optimized geometry; crystal system = orthorhombic; calculated formation energy = -30.46 kJ/mol of atoms; SG = Cmmm; uncorrected energy = -5.605 eV per atom
1.0
3.9871 -5.5699 0.0000
3.9871 5.5699 0.0000
0.0000 0.0000 4.3572
Nd Tc Ge
2 1 6
direct
0.2438 0.7562 0.0000 Nd
0.7562 0.2438 0.0000 Nd
0.5000 0.5000 0.5000 Tc
0.1034 0.3756 0.5000 Ge
0.2939 0.2939 0.0000 Ge
0.3756 0.1034 0.5000 Ge
0.6244 0.8966 0.5000 Ge
0.7061 0.7061 0.0000 Ge
0.8966 0.6244 0.5000 Ge